! AcTb4Pr4 (GGA-PBE, relaxed); values from VASP
&SYSTEM
  ibrav = 0, nat = 9, ntyp = 3
/
ATOMIC_SPECIES
Ac 227.00 Ac.upf
Tb 158.93 Tb.upf
Pr 140.91 Pr.upf
ATOMIC_POSITIONS crystal
Ac 0.000 0.000 0.000
Tb 0.000 0.339 0.339
Tb 0.000 0.661 0.661
Tb 0.339 0.000 0.339
Tb 0.661 0.000 0.661
Pr 0.330 0.330 0.659
Pr 0.330 0.670 0.000
Pr 0.670 0.330 0.000
Pr 0.670 0.670 0.341
CELL_PARAMETERS angstrom
-5.527 5.527 2.597
5.527 -5.527 2.597
5.527 5.527 -2.597
! ΔE_f, meV per atom: 29